A geometry-optimized Zr2Te structure. Source: the Alexandria database, functional GGA-PBEsol.

Properties
Formation energy without anion corrections ... -2.15 eV per formula unit
Uncorrected energy ... -286.288 eV/cell
N(E_F) ... 23.721 states/eV/cell
Size of the total moment ... 0.00 μB per atom

Cell and atoms, written as CIF:
```
data_Zr2Te
_chemical_formula_sum 'Zr24 Te12'
_cell_length_a 19.806
_cell_length_b 3.800
_cell_length_c 10.626
_cell_angle_alpha 90.00
_cell_angle_beta 90.00
_cell_angle_gamma 90.00
_symmetry_space_group_name_H-M 'P n m a'
_symmetry_Int_Tables_number 62
loop_
_symmetry_equiv_pos_as_xyz
'x,y,z'
'-x,-y,-z'
'-x+1/2,-y,z+1/2'
'x+1/2,y,-z+1/2'
'x+1/2,-y+1/2,-z+1/2'
'-x+1/2,y+1/2,z+1/2'
'-x,y+1/2,-z'
'x,-y+1/2,z'
loop_
_atom_site_label
_atom_site_fract_x
_atom_site_fract_y
_atom_site_fract_z
Zr1 0.015 0.250 0.110
Zr2 0.033 0.750 0.388
Zr3 0.104 0.250 0.854
Zr4 0.147 0.750 0.078
Zr5 0.158 0.250 0.541
Zr6 0.224 0.750 0.748
Te1 0.073 0.750 0.662
Te2 0.131 0.250 0.281
Te3 0.240 0.250 0.961
```